# Cs2KCdH, relaxed, DFT PBE
# raw total energy: -7.184 eV for the cell shown
# energy above the lowest structure with this stoichiometry: 0 meV/atom
# Fermi-level density of states: 3.8 states/eV/cell
data_Cs2KCdH
_symmetry_space_group_name_H-M 'P 4/m m m'
_symmetry_Int_Tables_number 123
_symmetry_space_group_name_Hall '-P 4 2'
_cell_length_a 6.2475
_cell_length_b 6.2475
_cell_length_c 5.7336
_cell_angle_alpha 90.00
_cell_angle_beta 90.00
_cell_angle_gamma 90.00
loop_
_atom_site_label
_atom_site_type_symbol
_atom_site_fract_x
_atom_site_fract_y
_atom_site_fract_z
Cs1 Cs 0.0000 0.5000 0.0000
K1 K 0.0000 0.0000 0.5000
Cd1 Cd 0.5000 0.5000 0.5000
H1 H 0.0000 0.0000 0.0000


# CsK3Cd2H8, relaxed, DFT PBE
# raw total energy: -34.557 eV for the cell shown
# Fermi-level density of states: 0.0 states/eV/cell
data_CsK3Cd2H8
_symmetry_space_group_name_H-M 'P -3 m 1'
_symmetry_Int_Tables_number 164
_symmetry_space_group_name_Hall '-P 3 2"'
_cell_length_a 6.0211
_cell_length_b 6.0211
_cell_length_c 9.7961
_cell_angle_alpha 90.00
_cell_angle_beta 90.00
_cell_angle_gamma 120.00
loop_
_atom_site_label
_atom_site_type_symbol
_atom_site_fract_x
_atom_site_fract_y
_atom_site_fract_z
Cs1 Cs 0.0000 0.0000 0.0000
K1 K 0.0000 0.0000 0.5000
K2 K 0.3333 0.6667 0.2674
Cd1 Cd 0.3333 0.6667 0.7025
H1 H 0.1666 0.3332 0.7602
H2 H 0.3333 0.6667 0.5174


# Cs2LiCdH, relaxed, DFT PBE
# raw total energy: -7.635 eV for the cell shown
# Fermi-level density of states: 3.4 states/eV/cell
data_Cs2LiCdH
_symmetry_space_group_name_H-M 'P 4/m m m'
_symmetry_Int_Tables_number 123
_symmetry_space_group_name_Hall '-P 4 2'
_cell_length_a 6.7846
_cell_length_b 6.7846
_cell_length_c 4.1429
_cell_angle_alpha 90.00
_cell_angle_beta 90.00
_cell_angle_gamma 90.00
loop_
_atom_site_label
_atom_site_type_symbol
_atom_site_fract_x
_atom_site_fract_y
_atom_site_fract_z
Cs1 Cs 0.0000 0.5000 0.0000
Li1 Li 0.0000 0.0000 0.5000
Cd1 Cd 0.5000 0.5000 0.5000
H1 H 0.0000 0.0000 0.0000


# Cs2MgCdH6, relaxed, DFT PBE
# raw total energy: -50.646 eV for the cell shown
data_Cs2MgCdH6
_symmetry_space_group_name_H-M 'I 4/m m m'
_symmetry_Int_Tables_number 139
_symmetry_space_group_name_Hall '-I 4 2'
_cell_length_a 6.1780
_cell_length_b 6.1780
_cell_length_c 8.4945
_cell_angle_alpha 90.00
_cell_angle_beta 90.00
_cell_angle_gamma 90.00
loop_
_atom_site_label
_atom_site_type_symbol
_atom_site_fract_x
_atom_site_fract_y
_atom_site_fract_z
Cs1 Cs 0.0000 0.5000 0.2500
Mg1 Mg 0.0000 0.0000 0.0000
Cd1 Cd 0.0000 0.0000 0.5000
H1 H 0.0000 0.0000 0.2773
H2 H 0.2295 0.2295 0.0000


# CsMnCdH6, relaxed, DFT PBE
# raw total energy: -31.317 eV for the cell shown
# Fermi-level density of states: 0.0 states/eV/cell
data_CsMnCdH6
_symmetry_space_group_name_H-M 'P -6 m 2'
_symmetry_Int_Tables_number 187
_symmetry_space_group_name_Hall 'P -6 2'
_cell_length_a 4.9068
_cell_length_b 4.9068
_cell_length_c 5.9942
_cell_angle_alpha 90.00
_cell_angle_beta 90.00
_cell_angle_gamma 120.00
loop_
_atom_site_label
_atom_site_type_symbol
_atom_site_fract_x
_atom_site_fract_y
_atom_site_fract_z
Cs1 Cs 0.0000 0.0000 0.0000
Mn1 Mn 0.6667 0.3333 0.5000
Cd1 Cd 0.3333 0.6667 0.5000
H1 H 0.5329 0.0658 0.3047


# Cs2NaCdH, relaxed, DFT PBE
# raw total energy: -7.226 eV for the cell shown
# energy above the lowest structure with this stoichiometry: 0 meV/atom
# Fermi-level density of states: 2.4 states/eV/cell
data_Cs2NaCdH
_symmetry_space_group_name_H-M 'P 4/m m m'
_symmetry_Int_Tables_number 123
_symmetry_space_group_name_Hall '-P 4 2'
_cell_length_a 6.2979
_cell_length_b 6.2979
_cell_length_c 5.1552
_cell_angle_alpha 90.00
_cell_angle_beta 90.00
_cell_angle_gamma 90.00
loop_
_atom_site_label
_atom_site_type_symbol
_atom_site_fract_x
_atom_site_fract_y
_atom_site_fract_z
Cs1 Cs 0.0000 0.5000 0.0000
Na1 Na 0.0000 0.0000 0.5000
Cd1 Cd 0.5000 0.5000 0.5000
H1 H 0.0000 0.0000 0.0000


# Cs2NaCd2H6, relaxed, DFT PBE
# raw total energy: -51.483 eV for the cell shown
# Fermi-level density of states: 5.5 states/eV/cell
data_Cs2NaCd2H6
_symmetry_space_group_name_H-M 'C 1 2/m 1'
_symmetry_Int_Tables_number 12
_cell_length_a 11.2021
_cell_length_b 6.2894
_cell_length_c 7.3721
_cell_angle_alpha 90.00
_cell_angle_beta 118.29
_cell_angle_gamma 90.00
loop_
_symmetry_equiv_pos_as_xyz
'x,y,z'
'-x,-y,-z'
'-x,y,-z'
'x,-y,z'
'x+1/2,y+1/2,z'
'-x+1/2,-y+1/2,-z'
'-x+1/2,y+1/2,-z'
'x+1/2,-y+1/2,z'
loop_
_atom_site_label
_atom_site_type_symbol
_atom_site_fract_x
_atom_site_fract_y
_atom_site_fract_z
Cs1 Cs 0.2085 0.0000 0.1642
Na1 Na 0.0000 0.0000 0.5000
Cd1 Cd 0.0596 0.5000 0.2302
H1 H 0.0172 0.2515 0.7445
H2 H 0.2442 0.5000 0.3404


# Cs2NaCdH, relaxed, DFT PBE
# raw total energy: -7.004 eV for the cell shown
# energy above the lowest structure with this stoichiometry: 44 meV/atom
# Fermi-level density of states: 0.8 states/eV/cell
data_Cs2NaCdH
_symmetry_space_group_name_H-M 'P 4/m m m'
_symmetry_Int_Tables_number 123
_symmetry_space_group_name_Hall '-P 4 2'
_cell_length_a 5.9820
_cell_length_b 5.9820
_cell_length_c 6.0147
_cell_angle_alpha 90.00
_cell_angle_beta 90.00
_cell_angle_gamma 90.00
loop_
_atom_site_label
_atom_site_type_symbol
_atom_site_fract_x
_atom_site_fract_y
_atom_site_fract_z
Cs1 Cs 0.0000 0.5000 0.0000
Na1 Na 0.0000 0.0000 0.5000
Cd1 Cd 0.5000 0.5000 0.5000
H1 H 0.5000 0.5000 0.0000


Q: Which of these has the lowest raw total energy?
A: Cs2NaCd2H6


Q: Look up the raw total energy of the first one.
A: -7.184 eV for the cell shown